This record from the Alexandria database describes NpAu3 after structural relaxation. The functional is PBE-GGA.

abc: 4.9250 4.9250 4.9250
angles: 60.00 60.00 60.00
Fractional positions:
Au  0.0000  0.0000  0.0000
Au  0.2500  0.2500  0.2500
Au  0.7500  0.7500  0.7500
Np  0.5000  0.5000  0.5000

Results
Calculated density = 16.28 g/cm3
Calculated formation energy = -163 meV per atom
D(E_F) = 11.73 states/eV per cell
Spin magnetization = 3.95 μB per cell
E = -5.86 eV/atom